## In2CuPt (PBE)

Data for In2CuPt after structural relaxation.

Lattice parameters (Å, degrees): 4.236 3.581 5.337 69.43 90.00 90.00
Element x y z (fractional)
Pt: 0.000 0.700 0.474
In: 0.000 0.972 0.918
In: 0.500 0.280 0.325
Cu: 0.500 0.548 0.784

- calculated total energy (Ry/atom) = -0.30376
- SG = No. 6
- mass density (g/cm³) = 10.696
- calculated formation energy (eV/atom) = -0.229


## InCu5Pt6 (PBE)

Data for InCu5Pt6 after structural relaxation.

Lattice parameters (Å, degrees): 4.594 5.691 6.718 90.00 95.57 90.00
Element x y z (fractional)
Cu: 0.665 0.000 0.336
Cu: 0.335 0.000 0.664
Cu: 0.326 0.500 0.671
Cu: 0.674 0.500 0.329
Cu: 0.000 0.500 0.000
Pt: 0.500 0.259 0.000
Pt: 0.500 0.741 0.000
Pt: 0.176 0.255 0.341
Pt: 0.176 0.745 0.341
Pt: 0.824 0.745 0.659
Pt: 0.824 0.255 0.659
In: 0.000 0.000 0.000

- calculated total energy (Ry/atom) = -0.38054
- SG = No. 10
- mass density (g/cm³) = 15.229
- calculated formation energy (eV/atom) = -0.222


## In3CuPt12 (PBE)

Data for In3CuPt12 after structural relaxation.

Lattice parameters (Å, degrees): 4.038 4.038 15.919 90.00 90.00 90.00
Element x y z (fractional)
Pt: 0.500 0.000 0.372
Pt: 0.000 0.500 0.628
Pt: 0.000 0.500 0.117
Pt: 0.500 0.000 0.117
Pt: 0.500 0.500 0.000
Pt: 0.000 0.500 0.372
Pt: 0.000 0.500 0.883
Pt: 0.500 0.000 0.883
Pt: 0.500 0.000 0.628
Pt: 0.500 0.500 0.755
Pt: 0.500 0.500 0.500
Pt: 0.500 0.500 0.245
Cu: 0.000 0.000 0.000
In: 0.000 0.000 0.500
In: 0.000 0.000 0.756
In: 0.000 0.000 0.244

- calculated total energy (Ry/atom) = -0.41159
- SG = No. 123
- mass density (g/cm³) = 17.588
- calculated formation energy (eV/atom) = -0.300


> Which formula does entry 3 have?

In3CuPt12


> Which formula does entry 2 have?

InCu5Pt6